Model w:
# PBE-GGA PrSm5Y2, relaxed
# Magnetic moment   0.00 μB/cell
data_PrSm5Y2
_chemical_formula_sum 'Pr2 Sm10 Y4'
_space_group_name_H-M_alt 'P b a m'
_space_group_IT_number 55
_cell_length_a 7.256
_cell_length_b 14.516
_cell_length_c 5.113
_cell_angle_alpha 90.00
_cell_angle_beta 90.00
_cell_angle_gamma 90.00
loop_
_space_group_symop_operation_xyz
'x,y,z'
'-x,-y,-z'
'-x,-y,z'
'x,y,-z'
'x+1/2,-y+1/2,-z'
'-x+1/2,y+1/2,z'
'-x+1/2,y+1/2,-z'
'x+1/2,-y+1/2,z'
loop_
_atom_site_label
_atom_site_type_symbol
_atom_site_fract_x
_atom_site_fract_y
_atom_site_fract_z
Pr1 Pr 0.000 0.000 0.000
Sm1 Sm 0.000 0.500 0.000
Sm2 Sm 0.001 0.251 0.000
Sm3 Sm 0.249 0.626 0.500
Y1 Y 0.250 0.375 0.500

=====

Model x:
# PBE-GGA PrSm5Y2, relaxed
# Magnetic moment   0.00 μB/cell
data_PrSm5Y2
_chemical_formula_sum 'Pr2 Sm10 Y4'
_space_group_name_H-M_alt 'P 1 21/m 1'
_space_group_IT_number 11
_cell_length_a 7.216
_cell_length_b 10.092
_cell_length_c 8.024
_cell_angle_alpha 90.00
_cell_angle_beta 103.00
_cell_angle_gamma 90.00
loop_
_space_group_symop_operation_xyz
'x,y,z'
'-x,-y,-z'
'-x,y+1/2,-z'
'x,-y+1/2,z'
loop_
_atom_site_label
_atom_site_type_symbol
_atom_site_fract_x
_atom_site_fract_y
_atom_site_fract_z
Pr1 Pr 0.074 0.250 0.276
Sm1 Sm 0.252 0.532 0.999
Sm2 Sm 0.409 0.093 0.639
Sm3 Sm 0.435 0.750 0.723
Y1 Y 0.090 0.592 0.364

=====

Winner for stability: model w

=====

Model w:
# PBE-GGA Pr6Sm4Y, relaxed
# Magnetic moment   0.00 μB/cell
data_Pr6Sm4Y
_chemical_formula_sum 'Pr12 Sm8 Y2'
_space_group_name_H-M_alt 'I -4 2 m'
_space_group_IT_number 121
_space_group_name_Hall 'I -4 2'
_cell_length_a 6.689
_cell_length_b 6.689
_cell_length_c 17.741
_cell_angle_alpha 90.00
_cell_angle_beta 90.00
_cell_angle_gamma 90.00
loop_
_atom_site_label
_atom_site_type_symbol
_atom_site_fract_x
_atom_site_fract_y
_atom_site_fract_z
Pr1 Pr 0.000 0.500 0.000
Pr2 Pr 0.179 0.179 0.368
Sm1 Sm 0.187 0.187 0.177
Y1 Y 0.000 0.000 0.000

=====

Model x:
# PBE-GGA Pr6Sm4Y, relaxed
# Magnetic moment   0.00 μB/cell
data_Pr6Sm4Y
_chemical_formula_sum 'Pr12 Sm8 Y2'
_space_group_name_H-M_alt 'I -4 2 m'
_space_group_IT_number 121
_space_group_name_Hall 'I -4 2'
_cell_length_a 7.655
_cell_length_b 7.655
_cell_length_c 13.799
_cell_angle_alpha 90.00
_cell_angle_beta 90.00
_cell_angle_gamma 90.00
loop_
_atom_site_label
_atom_site_type_symbol
_atom_site_fract_x
_atom_site_fract_y
_atom_site_fract_z
Pr1 Pr 0.000 0.500 0.000
Pr2 Pr 0.226 0.226 0.189
Sm1 Sm 0.169 0.169 0.419
Y1 Y 0.000 0.000 0.000

=====

Winner for stability: model w

=====

Model w:
# PBE-GGA PrSm5Y4, relaxed
# Magnetic moment   0.00 μB/cell
data_PrSm5Y4
_chemical_formula_sum 'Pr2 Sm10 Y8'
_space_group_name_H-M_alt 'I 4'
_space_group_IT_number 79
_cell_length_a 10.319
_cell_length_b 10.319
_cell_length_c 6.356
_cell_angle_alpha 90.00
_cell_angle_beta 90.00
_cell_angle_gamma 90.00
loop_
_space_group_symop_operation_xyz
'x,y,z'
'-y,x,z'
'-x,-y,z'
'y,-x,z'
'x+1/2,y+1/2,z+1/2'
'-y+1/2,x+1/2,z+1/2'
'-x+1/2,-y+1/2,z+1/2'
'y+1/2,-x+1/2,z+1/2'
loop_
_atom_site_label
_atom_site_type_symbol
_atom_site_fract_x
_atom_site_fract_y
_atom_site_fract_z
Pr1 Pr 0.000 0.000 0.000
Sm1 Sm 0.000 0.000 0.457
Sm2 Sm 0.150 0.773 0.729
Y1 Y 0.042 0.657 0.233

=====

Model x:
# PBE-GGA PrSm5Y4, relaxed
# Magnetic moment   0.00 μB/cell
data_PrSm5Y4
_chemical_formula_sum 'Pr2 Sm10 Y8'
_space_group_name_H-M_alt 'C 1 2/m 1'
_space_group_IT_number 12
_cell_length_a 28.434
_cell_length_b 3.509
_cell_length_c 6.861
_cell_angle_alpha 90.00
_cell_angle_beta 97.27
_cell_angle_gamma 90.00
loop_
_space_group_symop_operation_xyz
'x,y,z'
'-x,-y,-z'
'-x,y,-z'
'x,-y,z'
'x+1/2,y+1/2,z'
'-x+1/2,-y+1/2,-z'
'-x+1/2,y+1/2,-z'
'x+1/2,-y+1/2,z'
loop_
_atom_site_label
_atom_site_type_symbol
_atom_site_fract_x
_atom_site_fract_y
_atom_site_fract_z
Pr1 Pr 0.000 0.000 0.000
Sm1 Sm 0.000 0.000 0.500
Sm2 Sm 0.202 0.500 0.600
Sm3 Sm 0.206 0.500 0.103
Y1 Y 0.095 0.500 0.301
Y2 Y 0.109 0.000 0.808

=====

Winner for stability: model x

=====

Model w:
# PBE-GGA Pr6Sm12Y, relaxed
# Magnetic moment   0.00 μB/cell
data_Pr6Sm12Y
_chemical_formula_sum 'Pr18 Sm36 Y3'
_space_group_name_H-M_alt 'R -3 m'
_space_group_IT_number 166
_space_group_name_Hall '-R 3 2"'
_cell_length_a 16.6638
_cell_length_b 16.6638
_cell_length_c 8.4465
_cell_angle_alpha 90.00
_cell_angle_beta 90.00
_cell_angle_gamma 120.00
loop_
_atom_site_label
_atom_site_type_symbol
_atom_site_fract_x
_atom_site_fract_y
_atom_site_fract_z
Pr1 Pr 0.0859 0.1717 0.1462
Sm1 Sm 0.0000 0.3795 0.0000
Sm2 Sm 0.0931 0.5466 0.3117
Y1 Y 0.0000 0.0000 0.5000

=====

Model x:
# PBE-GGA Pr6Sm12Y, relaxed
# Magnetic moment   0.00 μB/cell
data_Pr6Sm12Y
_chemical_formula_sum 'Pr18 Sm36 Y3'
_space_group_name_H-M_alt 'R -3'
_space_group_IT_number 148
_space_group_name_Hall '-R 3'
_cell_length_a 12.2848
_cell_length_b 12.2848
_cell_length_c 15.3043
_cell_angle_alpha 90.00
_cell_angle_beta 90.00
_cell_angle_gamma 120.00
loop_
_atom_site_label
_atom_site_type_symbol
_atom_site_fract_x
_atom_site_fract_y
_atom_site_fract_z
Pr1 Pr 0.0115 0.4211 0.1838
Sm1 Sm 0.0052 0.8319 0.6903
Sm2 Sm 0.0475 0.8534 0.9165
Y1 Y 0.0000 0.0000 0.5000

=====

Winner for stability: model x

=====

Model w:
# PBE-GGA Pr12Sm6Y, relaxed
# Magnetic moment   0.00 μB/cell
data_Pr12Sm6Y
_chemical_formula_sum 'Pr36 Sm18 Y3'
_space_group_name_H-M_alt 'R -3 m'
_space_group_IT_number 166
_space_group_name_Hall '-R 3 2"'
_cell_length_a 15.8496
_cell_length_b 15.8496
_cell_length_c 9.8072
_cell_angle_alpha 90.00
_cell_angle_beta 90.00
_cell_angle_gamma 120.00
loop_
_atom_site_label
_atom_site_type_symbol
_atom_site_fract_x
_atom_site_fract_y
_atom_site_fract_z
Pr1 Pr 0.0000 0.3929 0.0000
Pr2 Pr 0.0683 0.1366 0.8112
Sm1 Sm 0.0355 0.5178 0.6876
Y1 Y 0.0000 0.0000 0.5000

=====

Model x:
# PBE-GGA Pr12Sm6Y, relaxed
# Magnetic moment   0.00 μB/cell
data_Pr12Sm6Y
_chemical_formula_sum 'Pr36 Sm18 Y3'
_space_group_name_H-M_alt 'R -3'
_space_group_IT_number 148
_space_group_name_Hall '-R 3'
_cell_length_a 12.3522
_cell_length_b 12.3522
_cell_length_c 15.4887
_cell_angle_alpha 90.00
_cell_angle_beta 90.00
_cell_angle_gamma 120.00
loop_
_atom_site_label
_atom_site_type_symbol
_atom_site_fract_x
_atom_site_fract_y
_atom_site_fract_z
Pr1 Pr 0.0018 0.1729 0.1906
Pr2 Pr 0.0476 0.1975 0.4166
Sm1 Sm 0.0148 0.5893 0.6865
Y1 Y 0.0000 0.0000 0.0000

=====

Winner for stability: model x

=====

Model w:
# PBE-GGA Pr3Sm4Y4, relaxed
# Magnetic moment   0.00 μB/cell
data_Pr3Sm4Y4
_chemical_formula_sum 'Pr6 Sm8 Y8'
_space_group_name_H-M_alt 'I m m m'
_space_group_IT_number 71
_space_group_name_Hall '-I 2 2'
_cell_length_a 3.582
_cell_length_b 11.468
_cell_length_c 18.810
_cell_angle_alpha 90.00
_cell_angle_beta 90.00
_cell_angle_gamma 90.00
loop_
_atom_site_label
_atom_site_type_symbol
_atom_site_fract_x
_atom_site_fract_y
_atom_site_fract_z
Pr1 Pr 0.000 0.000 0.000
Pr2 Pr 0.000 0.500 0.105
Sm1 Sm 0.000 0.257 0.329
Y1 Y 0.000 0.000 0.222
Y2 Y 0.000 0.215 0.500

=====

Model x:
# PBE-GGA Pr3Sm4Y4, relaxed
# Magnetic moment   0.00 μB/cell
data_Pr3Sm4Y4
_chemical_formula_sum 'Pr6 Sm8 Y8'
_space_group_name_H-M_alt 'A m m 2'
_space_group_IT_number 38
_cell_length_a 10.769
_cell_length_b 5.795
_cell_length_c 12.181
_cell_angle_alpha 90.00
_cell_angle_beta 90.00
_cell_angle_gamma 90.00
loop_
_space_group_symop_operation_xyz
'x,y,z'
'-x,-y,z'
'-x,y,z'
'x,-y,z'
'x,y+1/2,z+1/2'
'-x,-y+1/2,z+1/2'
'-x,y+1/2,z+1/2'
'x,-y+1/2,z+1/2'
loop_
_atom_site_label
_atom_site_type_symbol
_atom_site_fract_x
_atom_site_fract_y
_atom_site_fract_z
Pr1 Pr 0.000 0.000 0.000
Pr2 Pr 0.296 0.000 0.150
Sm1 Sm 0.000 0.000 0.705
Sm2 Sm 0.212 0.000 0.501
Sm3 Sm 0.500 0.000 0.630
Y1 Y 0.000 0.000 0.301
Y2 Y 0.297 0.000 0.846
Y3 Y 0.500 0.000 0.360

=====

Winner for stability: model x

=====

Model w:
# PBE-GGA Pr5Sm2Y12, relaxed
# Magnetic moment   0.00 μB/cell
data_Pr5Sm2Y12
_chemical_formula_sum 'Pr10 Sm4 Y24'
_space_group_name_H-M_alt 'C 1 2/m 1'
_space_group_IT_number 12
_cell_length_a 12.368
_cell_length_b 7.211
_cell_length_c 15.169
_cell_angle_alpha 90.00
_cell_angle_beta 107.38
_cell_angle_gamma 90.00
loop_
_space_group_symop_operation_xyz
'x,y,z'
'-x,-y,-z'
'-x,y,-z'
'x,-y,z'
'x+1/2,y+1/2,z'
'-x+1/2,-y+1/2,-z'
'-x+1/2,y+1/2,-z'
'x+1/2,-y+1/2,z'
loop_
_atom_site_label
_atom_site_type_symbol
_atom_site_fract_x
_atom_site_fract_y
_atom_site_fract_z
Pr1 Pr 0.000 0.000 0.000
Pr2 Pr 0.096 0.500 0.095
Pr3 Pr 0.249 0.500 0.500
Sm1 Sm 0.000 0.250 0.500
Y1 Y 0.090 0.245 0.287
Y2 Y 0.151 0.500 0.692
Y3 Y 0.156 0.000 0.696
Y4 Y 0.171 0.261 0.891

=====

Model x:
# PBE-GGA Pr5Sm2Y12, relaxed
# Magnetic moment   0.00 μB/cell
data_Pr5Sm2Y12
_chemical_formula_sum 'Pr10 Sm4 Y24'
_space_group_name_H-M_alt 'C 1 2/m 1'
_space_group_IT_number 12
_cell_length_a 18.277
_cell_length_b 8.298
_cell_length_c 9.118
_cell_angle_alpha 90.00
_cell_angle_beta 108.69
_cell_angle_gamma 90.00
loop_
_space_group_symop_operation_xyz
'x,y,z'
'-x,-y,-z'
'-x,y,-z'
'x,-y,z'
'x+1/2,y+1/2,z'
'-x+1/2,-y+1/2,-z'
'-x+1/2,y+1/2,-z'
'x+1/2,-y+1/2,z'
loop_
_atom_site_label
_atom_site_type_symbol
_atom_site_fract_x
_atom_site_fract_y
_atom_site_fract_z
Pr1 Pr 0.000 0.000 0.000
Pr2 Pr 0.199 0.500 0.693
Pr3 Pr 0.246 0.000 0.723
Sm1 Sm 0.000 0.326 0.500
Y1 Y 0.014 0.500 0.179
Y2 Y 0.053 0.000 0.673
Y3 Y 0.138 0.200 0.363
Y4 Y 0.153 0.236 0.971

=====

Winner for stability: model w

=====

Model w:
# PBE-GGA Pr2Sm2Y3, relaxed
# Magnetic moment   0.00 μB/cell
data_Pr2Sm2Y3
_chemical_formula_sum 'Pr4 Sm4 Y6'
_space_group_name_H-M_alt 'C 1 2/m 1'
_space_group_IT_number 12
_cell_length_a 17.094
_cell_length_b 3.523
_cell_length_c 8.903
_cell_angle_alpha 90.00
_cell_angle_beta 116.66
_cell_angle_gamma 90.00
loop_
_space_group_symop_operation_xyz
'x,y,z'
'-x,-y,-z'
'-x,y,-z'
'x,-y,z'
'x+1/2,y+1/2,z'
'-x+1/2,-y+1/2,-z'
'-x+1/2,y+1/2,-z'
'x+1/2,-y+1/2,z'
loop_
_atom_site_label
_atom_site_type_symbol
_atom_site_fract_x
_atom_site_fract_y
_atom_site_fract_z
Pr1 Pr 0.079 0.000 0.204
Sm1 Sm 0.139 0.500 0.908
Y1 Y 0.000 0.000 0.500
Y2 Y 0.220 0.000 0.646

=====

Model x:
# PBE-GGA Pr2Sm2Y3, relaxed
# Magnetic moment   0.00 μB/cell
data_Pr2Sm2Y3
_chemical_formula_sum 'Pr4 Sm4 Y6'
_space_group_name_H-M_alt 'C 1 2/m 1'
_space_group_IT_number 12
_cell_length_a 9.625
_cell_length_b 6.013
_cell_length_c 9.220
_cell_angle_alpha 90.00
_cell_angle_beta 117.37
_cell_angle_gamma 90.00
loop_
_space_group_symop_operation_xyz
'x,y,z'
'-x,-y,-z'
'-x,y,-z'
'x,-y,z'
'x+1/2,y+1/2,z'
'-x+1/2,-y+1/2,-z'
'-x+1/2,y+1/2,-z'
'x+1/2,-y+1/2,z'
loop_
_atom_site_label
_atom_site_type_symbol
_atom_site_fract_x
_atom_site_fract_y
_atom_site_fract_z
Pr1 Pr 0.213 0.000 0.140
Sm1 Sm 0.070 0.000 0.709
Y1 Y 0.000 0.500 0.000
Y2 Y 0.142 0.500 0.430

=====

Winner for stability: model x

=====

Model w:
# PBE-GGA Pr2Sm5Y3, relaxed
# Magnetic moment   0.00 μB/cell
data_Pr2Sm5Y3
_chemical_formula_sum 'Pr8 Sm20 Y12'
_space_group_name_H-M_alt 'I b a m'
_space_group_IT_number 72
_space_group_name_Hall '-I 2 2c'
_cell_length_a 9.522
_cell_length_b 21.932
_cell_length_c 6.918
_cell_angle_alpha 90.00
_cell_angle_beta 90.00
_cell_angle_gamma 90.00
loop_
_atom_site_label
_atom_site_type_symbol
_atom_site_fract_x
_atom_site_fract_y
_atom_site_fract_z
Pr1 Pr 0.101 0.127 0.000
Sm1 Sm 0.000 0.252 0.250
Sm2 Sm 0.000 0.500 0.250
Sm3 Sm 0.093 0.376 0.500
Y1 Y 0.000 0.000 0.250
Y2 Y 0.250 0.123 0.500

=====

Model x:
# PBE-GGA Pr2Sm5Y3, relaxed
# Magnetic moment   0.00 μB/cell
data_Pr2Sm5Y3
_chemical_formula_sum 'Pr8 Sm20 Y12'
_space_group_name_H-M_alt 'C 1 2/c 1'
_space_group_IT_number 15
_cell_length_a 10.923
_cell_length_b 15.824
_cell_length_c 9.647
_cell_angle_alpha 90.00
_cell_angle_beta 123.93
_cell_angle_gamma 90.00
loop_
_space_group_symop_operation_xyz
'x,y,z'
'-x,-y,-z'
'-x,y,-z+1/2'
'x,-y,z+1/2'
'x+1/2,y+1/2,z'
'-x+1/2,-y+1/2,-z'
'-x+1/2,y+1/2,-z+1/2'
'x+1/2,-y+1/2,z+1/2'
loop_
_atom_site_label
_atom_site_type_symbol
_atom_site_fract_x
_atom_site_fract_y
_atom_site_fract_z
Pr1 Pr 0.145 0.126 0.053
Sm1 Sm 0.000 0.229 0.250
Sm2 Sm 0.000 0.271 0.750
Sm3 Sm 0.000 0.469 0.750
Sm4 Sm 0.231 0.380 0.217
Y1 Y 0.000 0.021 0.250
Y2 Y 0.157 0.379 0.545

=====

Winner for stability: model x